Np2MnGe3Pt4 PBE optimized geometry; total magnetic moment = 12.18 μB per formula unit; uncorrected energy = -7.78 eV per atom; space-group type = P-4m2 (115); D(E_F) = 1.963 states/eV/atom; energy of formation = -45.6 kJ/mol of atoms
1.0
-2.901 -0.702 -2.757
0.193 -3.977 0.809
-7.902 1.243 7.996
Ge Pt Mn Np
3 4 1 2
Cartesian
-0.977 -1.820 1.491
-3.951 0.621 3.998
-8.279 0.723 5.531
-2.699 -1.549 3.233
-1.354 -2.339 -0.974
0.000 0.000 0.000
-6.557 0.452 3.788
-5.305 -1.718 3.024
-3.416 -0.042 0.610
-5.840 -1.055 6.412